A plane-wave DFT calculation with GGA-PBE was carried out for crystalline TeMoAs2Se at its relaxed geometry.

For the relative energy among the computed polymorphs, the calculation gives 0.0 kJ/mol of formula units. As for the crystal system: tetragonal.

It has space group P4/mmm (No. 123), with a = 5.032 Å, b = 5.032 Å, c = 4.737 Å, α = 90.00°, β = 90.00° and γ = 90.00°. The inequivalent atoms are Te at (0.000, 0.000, 0.000), Mo at (0.500, 0.500, 0.500), As at (0.000, 0.500, 0.500) and Se at (0.500, 0.500, 0.000).


A plane-wave DFT calculation with GGA-PBE was carried out for crystalline TiMoAs2Se at its relaxed geometry.

For the relative energy among the computed polymorphs, the calculation gives 0.0 kJ/mol of formula units. As for the crystal system: tetragonal.

It has space group P4/mmm (No. 123), with a = 4.868 Å, b = 4.868 Å, c = 4.855 Å, α = 90.00°, β = 90.00° and γ = 90.00°. The inequivalent atoms are Ti at (0.000, 0.000, 0.000), Mo at (0.500, 0.500, 0.500), As at (0.000, 0.500, 0.000) and Se at (0.000, 0.000, 0.500).


A plane-wave DFT calculation with GGA-PBE was carried out for crystalline TlMoAsSe2 at its relaxed geometry.

For the relative energy among the computed polymorphs, the calculation gives 0.0 kJ/mol of formula units. As for the crystal system: tetragonal.

It has space group P4/mmm (No. 123), with a = 5.061 Å, b = 5.061 Å, c = 4.921 Å, α = 90.00°, β = 90.00° and γ = 90.00°. The inequivalent atoms are Tl at (0.000, 0.000, 0.000), Mo at (0.500, 0.500, 0.500), As at (0.500, 0.500, 0.000) and Se at (0.000, 0.500, 0.500).


A plane-wave DFT calculation with GGA-PBE was carried out for crystalline TlMoAs2Se at its relaxed geometry.

For the relative energy among the computed polymorphs, the calculation gives 0.0 kJ/mol of formula units. As for the crystal system: tetragonal.

It has space group P4/mmm (No. 123), with a = 4.916 Å, b = 4.916 Å, c = 5.171 Å, α = 90.00°, β = 90.00° and γ = 90.00°. The inequivalent atoms are Tl at (0.000, 0.000, 0.000), Mo at (0.500, 0.500, 0.500), As at (0.000, 0.500, 0.500) and Se at (0.500, 0.500, 0.000).


| no. | ΔE_f (raw) (eV per atom) |
| --- | --- |
| 1 | 0.346 |
| 2 | 0.577 |
| 3 | 0.056 |
| 4 | 0.174 |